UPa2CuS8 PBE-GGA optimized geometry; symmetry = No. 164; density of states at the Fermi level = 10.89 states/eV/f.u.; electronic total energy = -6.53 eV per atom
1.0
6.071 0.000 0.000
-3.036 5.258 0.000
0.000 0.000 7.335
U Pa Cu S
1 2 1 8
Direct
0.000 0.000 0.000
0.333 0.667 0.394
0.667 0.333 0.606
0.000 0.000 0.500
0.171 0.341 0.696
0.171 0.829 0.696
0.333 0.667 0.056
0.341 0.171 0.304
0.659 0.829 0.696
0.667 0.333 0.944
0.829 0.171 0.304
0.829 0.659 0.304